[1]
Density functional theory data (PBEsol) for GaCN2O after structural relaxation.

Structure (POSCAR):
```
GaCN2O
1.0
2.9299 0.0000 0.0000
0.0000 2.9299 0.0000
0.0000 0.0000 5.8012
C N Ga O
1 2 1 1
direct
0.0000 0.0000 0.0000
0.0000 0.5000 0.0000
0.5000 0.0000 0.0000
0.5000 0.5000 0.5000
0.0000 0.0000 0.5000
```

Properties
The energy relative to the elements, uncorrected is 1.1339 eV/atom. Its energy is -29.62 eV for the cell shown. The crystal system is tetragonal. Its density of states at the Fermi level is 1.51 states/eV/f.u.


[2]
Density functional theory data (PBEsol) for GaPdCN2 after structural relaxation.

Structure (POSCAR):
```
GaPdCN2
1.0
3.8833 0.0000 0.0000
0.0000 3.9957 0.0000
0.0000 0.0000 3.9957
Pd C N Ga
1 1 2 1
direct
0.0000 0.0000 0.0000
0.5000 0.0000 0.0000
0.0000 0.0000 0.5000
0.0000 0.5000 0.0000
0.5000 0.5000 0.5000
```

Properties
The energy relative to the elements, uncorrected is 2.0151 eV/atom. Its energy is -25.92 eV for the cell shown. The crystal system is tetragonal. Its density of states at the Fermi level is 2.65 states/eV/f.u.


[3]
Density functional theory data (PBEsol) for GaSi3C3N after structural relaxation.

Structure (POSCAR):
```
GaSi3C3N
1.0
-0.6007 -2.7289 1.3278
4.9573 -0.6800 0.8452
-0.5010 2.4259 4.7591
C Si N Ga
3 3 1 1
direct
0.5000 0.3711 0.8162
0.5000 0.9030 0.1695
0.0000 0.8719 0.6645
0.0000 0.4976 0.6651
0.0000 0.0083 0.3373
0.5000 0.0011 0.8311
0.0000 0.3667 0.3531
0.5000 0.5084 0.1634
```

Properties
The energy relative to the elements, uncorrected is -0.3750 eV/atom. Its energy is -61.04 eV for the cell shown. The crystal system is monoclinic. Its density of states at the Fermi level is 0.00 states/eV/f.u.


[4]
Density functional theory data (PBEsol) for Ga2TeCN after structural relaxation.

Structure (POSCAR):
```
Ga2TeCN
1.0
4.0058 0.0000 0.0000
0.0000 4.0058 0.0000
0.0000 0.0000 5.0377
Te Ga N C
1 2 1 1
direct
0.0000 0.0000 0.5000
0.0000 0.5000 0.0000
0.5000 0.0000 0.0000
0.5000 0.5000 0.5000
0.0000 0.0000 0.0000
```

Properties
The energy relative to the elements, uncorrected is 1.4542 eV/atom. Its energy is -21.10 eV for the cell shown. The crystal system is tetragonal. Its density of states at the Fermi level is 2.78 states/eV/f.u.


Which value of energy does entry 3 give? -61.04 eV for the cell shown